1.
# BeZn2Cu

A relaxed structure of BeZn2Cu (PBE, Alexandria).

Summary:
The formation energy comes out at 6 kJ/mol of atoms. The value obtained for the calculated volume is 97.2 Å³ per cell. As for the density of states at the Fermi level: 0.20 states/eV/atom.

The structure in CIF format:
```
data_BeZn2Cu
_space_group_name_H-M_alt 'I m m m'
_space_group_IT_number 71
_space_group_name_Hall '-I 2 2'
_cell_length_a 2.885
_cell_length_b 4.112
_cell_length_c 8.194
_cell_angle_alpha 90.00
_cell_angle_beta 90.00
_cell_angle_gamma 90.00
loop_
_atom_site_label
_atom_site_fract_x
_atom_site_fract_y
_atom_site_fract_z
_atom_site_occupancy
Be1 0.000 0.000 0.000 1
Zn1 0.000 0.500 0.262 1
Cu1 0.000 0.000 0.500 1
```

2.
# BeZnCu3

A relaxed structure of BeZnCu3 (PBE, Alexandria).

Summary:
The formation energy comes out at -3 kJ/mol of atoms. The value obtained for the calculated volume is 231.9 Å³ per cell. As for the density of states at the Fermi level: 0.27 states/eV/atom.

The structure in CIF format:
```
data_BeZnCu3
_space_group_name_H-M_alt 'C 1 2/m 1'
_space_group_IT_number 12
_space_group_name_Hall '-C 2y'
_cell_length_a 15.254
_cell_length_b 2.796
_cell_length_c 5.505
_cell_angle_alpha 90.00
_cell_angle_beta 99.09
_cell_angle_gamma 90.00
loop_
_atom_site_label
_atom_site_fract_x
_atom_site_fract_y
_atom_site_fract_z
_atom_site_occupancy
Be1 0.204 0.000 0.375 1
Zn1 0.110 0.500 0.052 1
Cu1 0.002 0.000 0.747 1
Cu2 0.108 0.500 0.539 1
Cu3 0.213 0.000 0.824 1
```

3.
# Be2Zn2Cu

A relaxed structure of Be2Zn2Cu (PBE, Alexandria).

Summary:
The formation energy comes out at 21 kJ/mol of atoms. The value obtained for the calculated volume is 118.5 Å³ per cell. As for the density of states at the Fermi level: 0.18 states/eV/atom.

The structure in CIF format:
```
data_Be2Zn2Cu
_space_group_name_H-M_alt 'P 4/m b m'
_space_group_IT_number 127
_space_group_name_Hall '-P 4 2ab'
_cell_length_a 6.848
_cell_length_b 6.848
_cell_length_c 2.526
_cell_angle_alpha 90.00
_cell_angle_beta 90.00
_cell_angle_gamma 90.00
loop_
_atom_site_label
_atom_site_fract_x
_atom_site_fract_y
_atom_site_fract_z
_atom_site_occupancy
Be1 0.173 0.327 0.000 1
Zn1 0.130 0.630 0.500 1
Cu1 0.000 0.000 0.500 1
```

Theoretical density in g cm⁻³, matching the order above: 6.95 7.59 5.95
Raw total energy in Ha/atom, matching the order above: -0.0931 -0.1282 -0.0958